Record 1
DFT (GGA-PBE) results for a geometry-optimized LiBPCl2 structure.

Values from the calculation:
- ΔE to the lowest computed polymorph: 0 meV per atom
- Volume: 20.6 Å³/atom

```
data_LiBPCl2
_chemical_formula_sum 'Li1 B1 P1 Cl2'
_space_group_name_H-M_alt 'P 4/m m m'
_space_group_IT_number 123
_space_group_name_Hall '-P 4 2'
_cell_length_a 5.439
_cell_length_b 5.439
_cell_length_c 3.490
_cell_angle_alpha 90.00
_cell_angle_beta 90.00
_cell_angle_gamma 90.00
loop_
_atom_site_label
_atom_site_fract_x
_atom_site_fract_y
_atom_site_fract_z
_atom_site_occupancy
Li1 0.000 0.000 0.000 1
B1 0.500 0.500 0.000 1
P1 0.500 0.500 0.500 1
Cl1 0.000 0.500 0.500 1
```



Record 2
DFT (GGA-PBE) results for a geometry-optimized LiBPCl2 structure.

Values from the calculation:
- ΔE to the lowest computed polymorph: 17 meV per atom
- Volume: 19.8 Å³/atom

```
data_LiBPCl2
_chemical_formula_sum 'Li1 B1 P1 Cl2'
_space_group_name_H-M_alt 'P 4/m m m'
_space_group_IT_number 123
_space_group_name_Hall '-P 4 2'
_cell_length_a 5.285
_cell_length_b 5.285
_cell_length_c 3.553
_cell_angle_alpha 90.00
_cell_angle_beta 90.00
_cell_angle_gamma 90.00
loop_
_atom_site_label
_atom_site_fract_x
_atom_site_fract_y
_atom_site_fract_z
_atom_site_occupancy
Li1 0.000 0.000 0.000 1
B1 0.500 0.500 0.500 1
P1 0.500 0.500 0.000 1
Cl1 0.000 0.500 0.500 1
```



Record 3
DFT (GGA-PBE) results for a geometry-optimized Li2BPtCl structure.

Values from the calculation:
- Total DFT energy (no corrections): -14.76 eV for the cell shown
- Volume: 16.5 Å³/atom

```
data_Li2BPtCl
_chemical_formula_sum 'Li2 B1 Pt1 Cl1'
_space_group_name_H-M_alt 'P 4/m m m'
_space_group_IT_number 123
_space_group_name_Hall '-P 4 2'
_cell_length_a 4.786
_cell_length_b 4.786
_cell_length_c 3.607
_cell_angle_alpha 90.00
_cell_angle_beta 90.00
_cell_angle_gamma 90.00
loop_
_atom_site_label
_atom_site_fract_x
_atom_site_fract_y
_atom_site_fract_z
_atom_site_occupancy
Li1 0.000 0.500 0.000 1
B1 0.000 0.000 0.000 1
Pt1 0.500 0.500 0.500 1
Cl1 0.000 0.000 0.500 1
```



Record 4
DFT (GGA-PBE) results for a geometry-optimized Rb2LiBCl6 structure.

Values from the calculation:
- Total DFT energy (no corrections): -67.82 eV for the cell shown
- Volume: 25.8 Å³/atom

```
data_Rb2LiBCl6
_chemical_formula_sum 'Rb4 Li2 B2 Cl12'
_space_group_name_H-M_alt 'I 4/m m m'
_space_group_IT_number 139
_space_group_name_Hall '-I 4 2'
_cell_length_a 7.532
_cell_length_b 7.532
_cell_length_c 9.094
_cell_angle_alpha 90.00
_cell_angle_beta 90.00
_cell_angle_gamma 90.00
loop_
_atom_site_label
_atom_site_fract_x
_atom_site_fract_y
_atom_site_fract_z
_atom_site_occupancy
Rb1 0.000 0.500 0.250 1
Li1 0.000 0.000 0.000 1
B1 0.000 0.000 0.500 1
Cl1 0.000 0.000 0.316 1
Cl2 0.234 0.234 0.000 1
```



Record 5
DFT (GGA-PBE) results for a geometry-optimized LiBRu2Cl structure.

Values from the calculation:
- Total DFT energy (no corrections): -26.39 eV for the cell shown
- Volume: 20.8 Å³/atom

```
data_LiBRu2Cl
_chemical_formula_sum 'Li1 B1 Ru2 Cl1'
_space_group_name_H-M_alt 'P 4/m m m'
_space_group_IT_number 123
_space_group_name_Hall '-P 4 2'
_cell_length_a 3.978
_cell_length_b 3.978
_cell_length_c 6.574
_cell_angle_alpha 90.00
_cell_angle_beta 90.00
_cell_angle_gamma 90.00
loop_
_atom_site_label
_atom_site_fract_x
_atom_site_fract_y
_atom_site_fract_z
_atom_site_occupancy
Li1 0.000 0.000 0.000 1
B1 0.500 0.500 0.500 1
Ru1 0.000 0.500 0.500 1
Cl1 0.500 0.500 0.000 1
```



Record 6
DFT (GGA-PBE) results for a geometry-optimized LiBSCl2 structure.

Values from the calculation:
- ΔE to the lowest computed polymorph: 0 meV per atom
- Volume: 18.8 Å³/atom

```
data_LiBSCl2
_chemical_formula_sum 'Li1 B1 S1 Cl2'
_space_group_name_H-M_alt 'P 4/m m m'
_space_group_IT_number 123
_space_group_name_Hall '-P 4 2'
_cell_length_a 5.113
_cell_length_b 5.113
_cell_length_c 3.597
_cell_angle_alpha 90.00
_cell_angle_beta 90.00
_cell_angle_gamma 90.00
loop_
_atom_site_label
_atom_site_fract_x
_atom_site_fract_y
_atom_site_fract_z
_atom_site_occupancy
Li1 0.000 0.000 0.000 1
B1 0.500 0.500 0.500 1
S1 0.500 0.500 0.000 1
Cl1 0.000 0.500 0.500 1
```